# 1
An optimized crystal structure of LiYPt. Source: Alexandria via LeMat-Bulk, functional PBE-GGA.

Summary:
The relative energy among the computed polymorphs is 0 meV/atom. As for the energy of formation from the pure elements: -84.1 kJ/mol of atoms. The calculated total energy comes out at -17.0 eV per formula unit.

```
data_LiYPt
_chemical_formula_sum 'Li3 Y3 Pt3'
_space_group_name_H-M_alt 'P -6 2 m'
_space_group_IT_number 189
_space_group_name_Hall 'P -6 -2'
_cell_length_a 7.1948
_cell_length_b 7.1948
_cell_length_c 4.0104
_cell_angle_alpha 90.00
_cell_angle_beta 90.00
_cell_angle_gamma 120.00
loop_
_atom_site_label
_atom_site_type_symbol
_atom_site_fract_x
_atom_site_fract_y
_atom_site_fract_z
Li1 Li 0.0000 0.7634 0.0000
Y1 Y 0.0000 0.4062 0.5000
Pt1 Pt 0.0000 0.0000 0.5000
Pt2 Pt 0.3333 0.6667 0.0000
```

---

# 2
An optimized crystal structure of LiYPt. Source: Alexandria via LeMat-Bulk, functional PBE-GGA.

Summary:
The relative energy among the computed polymorphs is 156 meV/atom. As for the energy of formation from the pure elements: -69.0 kJ/mol of atoms. The calculated total energy comes out at -16.6 eV per formula unit.

```
data_LiYPt
_chemical_formula_sum 'Li4 Y4 Pt4'
_space_group_name_H-M_alt 'F -4 3 m'
_space_group_IT_number 216
_space_group_name_Hall 'F -4 2 3'
_cell_length_a 6.525
_cell_length_b 6.525
_cell_length_c 6.525
_cell_angle_alpha 90.00
_cell_angle_beta 90.00
_cell_angle_gamma 90.00
loop_
_atom_site_label
_atom_site_type_symbol
_atom_site_fract_x
_atom_site_fract_y
_atom_site_fract_z
Li1 Li 0.000 0.000 0.000
Y1 Y 0.000 0.000 0.500
Pt1 Pt 0.250 0.250 0.250
```

---

# 3
An optimized crystal structure of Li2Y3Pt5. Source: Alexandria via LeMat-Bulk, functional PBE-GGA.

Summary:
As for the energy of formation from the pure elements: -96.5 kJ/mol of atoms. The calculated total energy comes out at -63.4 eV per formula unit.

```
data_Li2Y3Pt5
_chemical_formula_sum 'Li4 Y6 Pt10'
_space_group_name_H-M_alt 'P 4/m b m'
_space_group_IT_number 127
_space_group_name_Hall '-P 4 2ab'
_cell_length_a 9.770
_cell_length_b 9.770
_cell_length_c 3.741
_cell_angle_alpha 90.00
_cell_angle_beta 90.00
_cell_angle_gamma 90.00
loop_
_atom_site_label
_atom_site_type_symbol
_atom_site_fract_x
_atom_site_fract_y
_atom_site_fract_z
Li1 Li 0.119 0.381 0.000
Y1 Y 0.000 0.000 0.000
Y2 Y 0.176 0.676 0.000
Pt1 Pt 0.000 0.500 0.500
Pt2 Pt 0.070 0.217 0.500
```

---

# 4
An optimized crystal structure of LiY2Pt. Source: Alexandria via LeMat-Bulk, functional PBE-GGA.

Summary:
The relative energy among the computed polymorphs is 188 meV/atom. As for the energy of formation from the pure elements: -46.1 kJ/mol of atoms. The calculated total energy comes out at -22.8 eV per formula unit.

```
data_LiY2Pt
_chemical_formula_sum 'Li2 Y4 Pt2'
_space_group_name_H-M_alt 'C 1 2/m 1'
_space_group_IT_number 12
_cell_length_a 7.122
_cell_length_b 4.127
_cell_length_c 8.197
_cell_angle_alpha 90.00
_cell_angle_beta 107.06
_cell_angle_gamma 90.00
loop_
_space_group_symop_operation_xyz
'x,y,z'
'-x,-y,-z'
'-x,y,-z'
'x,-y,z'
'x+1/2,y+1/2,z'
'-x+1/2,-y+1/2,-z'
'-x+1/2,y+1/2,-z'
'x+1/2,-y+1/2,z'
loop_
_atom_site_label
_atom_site_type_symbol
_atom_site_fract_x
_atom_site_fract_y
_atom_site_fract_z
Li1 Li 0.000 0.000 0.000
Y1 Y 0.231 0.000 0.690
Pt1 Pt 0.000 0.500 0.500
```

---

# 5
An optimized crystal structure of Li2Y3Pt7. Source: Alexandria via LeMat-Bulk, functional PBE-GGA.

Summary:
As for the energy of formation from the pure elements: -90.4 kJ/mol of atoms. The calculated total energy comes out at -76.7 eV per formula unit.

```
data_Li2Y3Pt7
_chemical_formula_sum 'Li6 Y9 Pt21'
_space_group_name_H-M_alt 'R -3 m'
_space_group_IT_number 166
_space_group_name_Hall '-R 3 2"'
_cell_length_a 5.4464
_cell_length_b 5.4464
_cell_length_c 25.1520
_cell_angle_alpha 90.00
_cell_angle_beta 90.00
_cell_angle_gamma 120.00
loop_
_atom_site_label
_atom_site_type_symbol
_atom_site_fract_x
_atom_site_fract_y
_atom_site_fract_z
Li1 Li 0.0000 0.0000 0.1648
Y1 Y 0.0000 0.0000 0.3614
Y2 Y 0.0000 0.0000 0.5000
Pt1 Pt 0.0000 0.0000 0.0000
Pt2 Pt 0.0048 0.5024 0.4200
```

---

# 6
An optimized crystal structure of LiYPt4. Source: Alexandria via LeMat-Bulk, functional PBE-GGA.

Summary:
As for the energy of formation from the pure elements: -83.6 kJ/mol of atoms. The calculated total energy comes out at -37.7 eV per formula unit.

```
data_LiYPt4
_chemical_formula_sum 'Li4 Y4 Pt16'
_space_group_name_H-M_alt 'F -4 3 m'
_space_group_IT_number 216
_space_group_name_Hall 'F -4 2 3'
_cell_length_a 7.568
_cell_length_b 7.568
_cell_length_c 7.568
_cell_angle_alpha 90.00
_cell_angle_beta 90.00
_cell_angle_gamma 90.00
loop_
_atom_site_label
_atom_site_type_symbol
_atom_site_fract_x
_atom_site_fract_y
_atom_site_fract_z
Li1 Li 0.000 0.000 0.000
Y1 Y 0.250 0.250 0.250
Pt1 Pt 0.125 0.125 0.625
```

---

# 7
An optimized crystal structure of LiY2Pt. Source: Alexandria via LeMat-Bulk, functional PBE-GGA.

Summary:
The relative energy among the computed polymorphs is 141 meV/atom. As for the energy of formation from the pure elements: -50.6 kJ/mol of atoms. The calculated total energy comes out at -23.0 eV per formula unit.

```
data_LiY2Pt
_chemical_formula_sum 'Li2 Y4 Pt2'
_space_group_name_H-M_alt 'I m m 2'
_space_group_IT_number 44
_cell_length_a 3.564
_cell_length_b 4.798
_cell_length_c 11.091
_cell_angle_alpha 90.00
_cell_angle_beta 90.00
_cell_angle_gamma 90.00
loop_
_space_group_symop_operation_xyz
'x,y,z'
'-x,-y,z'
'-x,y,z'
'x,-y,z'
'x+1/2,y+1/2,z+1/2'
'-x+1/2,-y+1/2,z+1/2'
'-x+1/2,y+1/2,z+1/2'
'x+1/2,-y+1/2,z+1/2'
loop_
_atom_site_label
_atom_site_type_symbol
_atom_site_fract_x
_atom_site_fract_y
_atom_site_fract_z
Li1 Li 0.000 0.000 0.000
Y1 Y 0.000 0.000 0.398
Y2 Y 0.000 0.500 0.186
Pt1 Pt 0.000 0.500 0.691
```

---

# 8
An optimized crystal structure of LiY2Pt. Source: Alexandria via LeMat-Bulk, functional PBE-GGA.

Summary:
The relative energy among the computed polymorphs is 173 meV/atom. As for the energy of formation from the pure elements: -47.5 kJ/mol of atoms. The calculated total energy comes out at -22.9 eV per formula unit.

```
data_LiY2Pt
_chemical_formula_sum 'Li3 Y6 Pt3'
_space_group_name_H-M_alt 'R 3 m'
_space_group_IT_number 160
_space_group_name_Hall 'R 3 -2"'
_cell_length_a 4.1701
_cell_length_b 4.1701
_cell_length_c 22.7344
_cell_angle_alpha 90.00
_cell_angle_beta 90.00
_cell_angle_gamma 120.00
loop_
_atom_site_label
_atom_site_type_symbol
_atom_site_fract_x
_atom_site_fract_y
_atom_site_fract_z
Li1 Li 0.0000 0.0000 0.0000
Y1 Y 0.0000 0.0000 0.5603
Y2 Y 0.0000 0.0000 0.7658
Pt1 Pt 0.0000 0.0000 0.1623
```

---

- Number 8 is which compound?
  LiY2Pt